# 1
{
  "formula": "Ba3AuI",
  "functional": "PBE",
  "state": "optimized geometry",
  "lattice_angstrom": [[4.776, 0.000, 0.000], [-2.388, 7.902, 0.000], [0.000, 0.000, 12.642]],
  "species": ["I", "I", "Ba", "Ba", "Ba", "Ba", "Ba", "Ba", "Au", "Au"],
  "fractional_positions": [[0.241, 0.483, 0.250], [0.759, 0.517, 0.750], [0.368, 0.736, 0.560], [0.368, 0.736, 0.940], [0.632, 0.264, 0.060], [0.929, 0.858, 0.250], [0.071, 0.142, 0.750], [0.632, 0.264, 0.440], [0.000, 0.000, 0.500], [0.000, 0.000, 0.000]],
  "vol_a3_per_atom": 47.7,
  "dos_ef_per_ev_atom": 0.727
}



# 2
{
  "formula": "BaAu2I8",
  "functional": "PBE",
  "state": "optimized geometry",
  "lattice_angstrom": [[8.268, 0.000, 0.000], [0.000, 8.268, 0.000], [-4.134, -4.134, 7.019]],
  "species": ["I", "I", "I", "I", "I", "I", "I", "I", "Ba", "Au", "Au"],
  "fractional_positions": [[0.277, 0.441, 0.238], [0.559, 0.723, 0.762], [0.797, 0.277, 0.238], [0.040, 0.559, 0.762], [0.960, 0.797, 0.238], [0.441, 0.960, 0.238], [0.723, 0.203, 0.762], [0.203, 0.040, 0.762], [0.500, 0.500, 0.000], [0.250, 0.750, 0.500], [0.750, 0.250, 0.500]],
  "vol_a3_per_atom": 43.6,
  "dos_ef_per_ev_atom": 0.347
}



# 3
{
  "formula": "Ba5AuI5",
  "functional": "PBE",
  "state": "optimized geometry",
  "lattice_angstrom": [[-3.019, -6.038, -1.961], [7.655, 1.621, -4.180], [2.257, -4.021, 8.907]],
  "species": ["Ba", "Ba", "Ba", "Ba", "Ba", "I", "I", "I", "I", "I", "Au"],
  "fractional_positions": [[0.149, 0.297, 0.306], [0.851, 0.703, 0.694], [0.855, 0.710, 0.153], [0.500, 0.000, 0.000], [0.145, 0.290, 0.847], [0.692, 0.385, 0.335], [0.000, 0.000, 0.500], [0.673, 0.345, 0.834], [0.327, 0.655, 0.166], [0.308, 0.615, 0.665], [0.000, 0.000, 0.000]],
  "vol_a3_per_atom": 49.4,
  "dos_ef_per_ev_atom": 0.548
}



# 4
{
  "formula": "Ba5Au2I",
  "functional": "PBE",
  "state": "optimized geometry",
  "lattice_angstrom": [[1.216, 6.762, 6.333], [-6.322, 5.274, -4.418], [-3.078, -9.103, 3.417]],
  "species": ["Ba", "Ba", "Ba", "Ba", "Ba", "Ba", "Ba", "Ba", "Ba", "Ba", "I", "I", "Au", "Au", "Au", "Au"],
  "fractional_positions": [[0.517, 0.714, 0.731], [0.714, 0.214, 0.731], [0.983, 0.483, 0.269], [0.017, 0.517, 0.731], [0.483, 0.286, 0.269], [0.286, 0.786, 0.269], [0.214, 0.017, 0.731], [0.000, 0.000, 0.000], [0.500, 0.500, 0.000], [0.786, 0.983, 0.269], [0.750, 0.750, 0.500], [0.250, 0.250, 0.500], [0.647, 0.147, 0.000], [0.353, 0.853, 0.000], [0.853, 0.647, 0.000], [0.147, 0.353, 0.000]],
  "vol_a3_per_atom": 42.4,
  "dos_ef_per_ev_atom": 1.090
}



# 5
{
  "formula": "Ba4AuI5",
  "functional": "PBE",
  "state": "optimized geometry",
  "lattice_angstrom": [[4.968, 0.000, 0.000], [0.000, 9.650, -0.898], [-2.484, -2.307, 10.835]],
  "species": ["Au", "Ba", "Ba", "Ba", "Ba", "I", "I", "I", "I", "I"],
  "fractional_positions": [[0.500, 0.000, 0.000], [0.000, 0.770, 0.001], [0.666, 0.122, 0.332], [0.334, 0.878, 0.668], [0.000, 0.230, 0.999], [0.169, 0.863, 0.339], [0.500, 0.500, 0.000], [0.835, 0.633, 0.670], [0.831, 0.137, 0.661], [0.165, 0.367, 0.330]],
  "vol_a3_per_atom": 50.9,
  "dos_ef_per_ev_atom": 0.244
}



# 6
{
  "formula": "Ba2AuI",
  "functional": "PBE",
  "state": "optimized geometry",
  "lattice_angstrom": [[0.000, 4.213, 4.213], [4.213, 0.000, 4.213], [4.213, 4.213, 0.000]],
  "species": ["Ba", "Ba", "Au", "I"],
  "fractional_positions": [[0.750, 0.750, 0.750], [0.250, 0.250, 0.250], [0.500, 0.500, 0.500], [0.000, 0.000, 0.000]],
  "vol_a3_per_atom": 37.4,
  "dos_ef_per_ev_atom": 1.368
}



# 7
{
  "formula": "BaAuI3",
  "functional": "PBE",
  "state": "optimized geometry",
  "lattice_angstrom": [[8.168, 0.000, -0.880], [0.000, 8.937, 0.000], [0.980, 0.000, 11.300]],
  "species": ["Ba", "Ba", "Ba", "Ba", "Au", "Au", "Au", "Au", "I", "I", "I", "I", "I", "I", "I", "I", "I", "I", "I", "I"],
  "fractional_positions": [[0.043, 0.367, 0.740], [0.957, 0.633, 0.260], [0.457, 0.867, 0.760], [0.543, 0.133, 0.240], [0.914, 0.017, 0.382], [0.586, 0.517, 0.118], [0.414, 0.483, 0.882], [0.086, 0.983, 0.618], [0.851, 0.027, 0.776], [0.149, 0.973, 0.224], [0.164, 0.669, 0.936], [0.649, 0.527, 0.724], [0.336, 0.169, 0.564], [0.343, 0.181, 0.941], [0.664, 0.831, 0.436], [0.657, 0.819, 0.059], [0.157, 0.681, 0.559], [0.351, 0.473, 0.276], [0.836, 0.331, 0.064], [0.843, 0.319, 0.441]],
  "vol_a3_per_atom": 41.6,
  "dos_ef_per_ev_atom": 0.000
}



# 8
{
  "formula": "BaAuI2",
  "functional": "PBE",
  "state": "optimized geometry",
  "lattice_angstrom": [[0.000, 4.153, 4.153], [4.153, 0.000, 4.153], [4.153, 4.153, 0.000]],
  "species": ["I", "I", "Ba", "Au"],
  "fractional_positions": [[0.750, 0.750, 0.750], [0.250, 0.250, 0.250], [0.000, 0.000, 0.000], [0.500, 0.500, 0.500]],
  "vol_a3_per_atom": 35.8,
  "dos_ef_per_ev_atom": 1.722
}



# 9
{
  "formula": "Ba6InAu2I3",
  "functional": "PBE",
  "state": "optimized geometry",
  "lattice_angstrom": [[-3.108, -2.504, 2.598], [3.064, -8.891, -4.903], [7.779, 3.165, 7.994]],
  "species": ["Au", "Au", "I", "I", "I", "Ba", "Ba", "Ba", "Ba", "Ba", "Ba", "In"],
  "fractional_positions": [[0.165, 0.327, 0.331], [0.835, 0.673, 0.669], [0.834, 0.170, 0.668], [0.166, 0.830, 0.332], [0.500, 0.500, 0.000], [0.993, 0.754, 0.986], [0.321, 0.446, 0.642], [0.337, 0.896, 0.674], [0.007, 0.246, 0.014], [0.679, 0.554, 0.358], [0.663, 0.104, 0.326], [0.500, 0.000, 0.000]],
  "vol_a3_per_atom": 44.5,
  "dos_ef_per_ev_atom": 0.579
}



# 10
{
  "formula": "Ba4IrAuI2",
  "functional": "PBE",
  "state": "optimized geometry",
  "lattice_angstrom": [[-0.619, 2.190, -4.067], [-2.634, -6.951, -3.342], [-7.281, 4.205, 3.373]],
  "species": ["I", "I", "Ba", "Ba", "Ba", "Ba", "Au", "Ir"],
  "fractional_positions": [[0.000, 0.500, 0.500], [0.500, 0.000, 0.500], [0.000, 0.283, 0.801], [0.500, 0.744, 0.795], [0.500, 0.256, 0.205], [0.000, 0.717, 0.199], [0.000, 0.000, 0.000], [0.500, 0.500, 0.000]],
  "vol_a3_per_atom": 41.2,
  "dos_ef_per_ev_atom": 0.696
}



# 11
{
  "formula": "Ba6IrAu2I",
  "functional": "PBE",
  "state": "optimized geometry",
  "lattice_angstrom": [[-2.592, -1.096, -7.550], [3.928, -8.005, -0.187], [-10.275, -5.138, 4.124]],
  "species": ["Ba", "Ba", "Ba", "Ba", "Ba", "Ba", "Ba", "Ba", "Ba", "Ba", "Ba", "Ba", "Au", "Au", "Au", "Au", "Ir", "Ir", "I", "I"],
  "fractional_positions": [[0.354, 0.702, 0.418], [0.162, 0.442, 0.772], [0.193, 0.159, 0.421], [0.662, 0.058, 0.272], [0.854, 0.798, 0.918], [0.838, 0.558, 0.228], [0.646, 0.298, 0.582], [0.146, 0.202, 0.082], [0.307, 0.659, 0.079], [0.807, 0.841, 0.579], [0.693, 0.341, 0.921], [0.338, 0.942, 0.728], [0.945, 0.111, 0.755], [0.555, 0.611, 0.745], [0.055, 0.889, 0.245], [0.445, 0.389, 0.255], [0.500, 0.000, 0.500], [0.000, 0.500, 0.000], [0.500, 0.000, 0.000], [0.000, 0.500, 0.500]],
  "vol_a3_per_atom": 43.9,
  "dos_ef_per_ev_atom": 0.586
}



# 12
{
  "formula": "KBaAuI",
  "functional": "PBE",
  "state": "optimized geometry",
  "lattice_angstrom": [[-0.768, 5.620, -1.763], [-5.441, 1.979, -1.328], [-2.700, 3.894, 3.582]],
  "species": ["Ba", "Au", "I", "K"],
  "fractional_positions": [[0.250, 0.250, 0.250], [0.000, 0.000, 0.000], [0.500, 0.500, 0.500], [0.750, 0.750, 0.750]],
  "vol_a3_per_atom": 37.0,
  "dos_ef_per_ev_atom": 1.082
}



What did we get for total magnetic moment? Answer: 0.000, 0.000, 2.190, 0.009, 1.867, 1.213, 0.000, 0.000, 0.000, 0.000, 0.000, 0.247 μB/f.u., in the order shown.
What did we get for uncorrected formation energy? Answer: -0.80, -0.47, -1.33, -0.67, -1.44, -0.84, -1.05, -0.82, -0.98, -0.92, -0.59, -0.80 eV/atom, in the order shown.